Computed, not measured: a geometry-optimized LiP2 structure at the PBE-GGA level of DFT.

Values from the calculation:
calculated total energy: -4.03 eV per atom
size of the total moment: 0.0 μB/f.u.
Fermi-level density of states: 1.15 states/eV per cell
ΔE_f: 0.213 eV/atom
energy above the lowest structure with this stoichiometry: 1.65 eV per formula unit

Cell and atoms, written as CIF:
```
data_LiP2
_chemical_formula_sum 'Li1 P2'
_cell_length_a 2.6196
_cell_length_b 2.6196
_cell_length_c 7.6250
_cell_angle_alpha 90.00
_cell_angle_beta 90.00
_cell_angle_gamma 120.00
_symmetry_space_group_name_H-M 'P -3 m 1'
_symmetry_Int_Tables_number 164
_symmetry_space_group_name_Hall '-P 3 2"'
loop_
_atom_site_label
_atom_site_fract_x
_atom_site_fract_y
_atom_site_fract_z
Li1 0.0000 0.0000 0.0000
P1 0.3333 0.6667 0.2757
```